# YCuSeS2 PBE-GGA optimized geometry
data_YCuSeS2
_cell_length_a 4.8438
_cell_length_b 4.8438
_cell_length_c 5.3629
_cell_angle_alpha 90.00
_cell_angle_beta 90.00
_cell_angle_gamma 90.00
_space_group_name_H-M_alt 'P 1'
_space_group_IT_number 1
_space_group_name_Hall 'P 1'
loop_
_atom_site_label
_atom_site_type_symbol
_atom_site_fract_x
_atom_site_fract_y
_atom_site_fract_z
_atom_site_occupancy
Y1 Y 0.0000 0.0000 0.0000 1
Cu1 Cu 0.5000 0.5000 0.0000 1
Se1 Se 0.0000 0.0000 0.5000 1
S1 S 0.0000 0.5000 0.5000 1
S2 S 0.5000 0.0000 0.5000 1
# Space-group type: P4/mmm (123)
# E_form (uncorrected), meV/atom: 326
# D(E_F), states/eV per cell: 2.92

---

# Y6CuSe3S2 PBE-GGA optimized geometry
data_Y6CuSe3S2
_cell_length_a 6.9612
_cell_length_b 6.9612
_cell_length_c 7.0239
_cell_angle_alpha 99.54
_cell_angle_beta 99.54
_cell_angle_gamma 119.99
_space_group_name_H-M_alt 'P 1'
_space_group_IT_number 1
_space_group_name_Hall 'P 1'
loop_
_atom_site_label
_atom_site_type_symbol
_atom_site_fract_x
_atom_site_fract_y
_atom_site_fract_z
_atom_site_occupancy
Y1 Y 0.0772 0.4081 0.2337 1
Y2 Y 0.2524 0.2524 0.7653 1
Y3 Y 0.4081 0.0772 0.2337 1
Y4 Y 0.5919 0.9228 0.7663 1
Y5 Y 0.7476 0.7476 0.2347 1
Y6 Y 0.9228 0.5919 0.7663 1
Cu1 Cu 0.0000 0.0000 0.0000 1
Se1 Se 0.1696 0.8304 0.5000 1
Se2 Se 0.5000 0.5000 0.5000 1
Se3 Se 0.8304 0.1696 0.5000 1
S1 S 0.3343 0.6657 0.0000 1
S2 S 0.6657 0.3343 0.0000 1
# Space-group type: C2/m (12)
# E_form (uncorrected), meV/atom: -1615
# D(E_F), states/eV per cell: 4.78

---

# Cu2SiS PBE-GGA optimized geometry
data_Cu2SiS
_cell_length_a 4.3272
_cell_length_b 4.3272
_cell_length_c 4.3272
_cell_angle_alpha 60.00
_cell_angle_beta 60.00
_cell_angle_gamma 60.00
_space_group_name_H-M_alt 'P 1'
_space_group_IT_number 1
_space_group_name_Hall 'P 1'
loop_
_atom_site_label
_atom_site_type_symbol
_atom_site_fract_x
_atom_site_fract_y
_atom_site_fract_z
_atom_site_occupancy
Cu1 Cu 0.2500 0.2500 0.2500 1
Cu2 Cu 0.7500 0.7500 0.7500 1
Si1 Si 0.0000 0.0000 0.0000 1
S1 S 0.5000 0.5000 0.5000 1
# Space-group type: Fm-3m (225)
# Offset from the most stable computed form, meV per atom: 264.3
# E_form (uncorrected), meV/atom: 435
# D(E_F), states/eV per cell: 1.62

---

# CuSiS2 PBE-GGA optimized geometry
data_CuSiS2
_cell_length_a 6.8593
_cell_length_b 6.8593
_cell_length_c 6.8593
_cell_angle_alpha 135.99
_cell_angle_beta 135.99
_cell_angle_gamma 64.00
_space_group_name_H-M_alt 'P 1'
_space_group_IT_number 1
_space_group_name_Hall 'P 1'
loop_
_atom_site_label
_atom_site_type_symbol
_atom_site_fract_x
_atom_site_fract_y
_atom_site_fract_z
_atom_site_occupancy
Cu1 Cu 0.0000 0.0000 0.0000 1
Cu2 Cu 0.7500 0.2500 0.5000 1
Si1 Si 0.2500 0.7500 0.5000 1
Si2 Si 0.5000 0.5000 0.0000 1
S1 S 0.1323 0.6250 0.0073 1
S2 S 0.3750 0.3823 0.5073 1
S3 S 0.6177 0.1250 0.9927 1
S4 S 0.8750 0.8677 0.4927 1
# Space-group type: I-42d (122)
# E_form (uncorrected), meV/atom: -144
# D(E_F), states/eV per cell: 3.44

---

# Cu5Si2S7 PBE-GGA optimized geometry
data_Cu5Si2S7
_cell_length_a 8.7827
_cell_length_b 8.7827
_cell_length_c 9.6131
_cell_angle_alpha 92.11
_cell_angle_beta 92.11
_cell_angle_gamma 42.41
_space_group_name_H-M_alt 'P 1'
_space_group_IT_number 1
_space_group_name_Hall 'P 1'
loop_
_atom_site_label
_atom_site_type_symbol
_atom_site_fract_x
_atom_site_fract_y
_atom_site_fract_z
_atom_site_occupancy
Cu1 Cu 0.1071 0.4629 0.4379 1
Cu2 Cu 0.1448 0.8552 0.5000 1
Cu3 Cu 0.2573 0.6015 0.1483 1
Cu4 Cu 0.3937 0.7427 0.8542 1
Cu5 Cu 0.4629 0.1071 0.9379 1
Cu6 Cu 0.5500 0.8794 0.5738 1
Cu7 Cu 0.6015 0.2573 0.6483 1
Cu8 Cu 0.7427 0.3937 0.3542 1
Cu9 Cu 0.8552 0.1448 0.0000 1
Cu10 Cu 0.8794 0.5500 0.0738 1
Si1 Si 0.0199 0.6904 0.7762 1
Si2 Si 0.3109 0.9683 0.2083 1
Si3 Si 0.6904 0.0199 0.2762 1
Si4 Si 0.9683 0.3109 0.7083 1
S1 S 0.0787 0.4165 0.8639 1
S2 S 0.1319 0.7710 0.9347 1
S3 S 0.2225 0.5615 0.5946 1
S4 S 0.2566 0.9588 0.6599 1
S5 S 0.3659 0.7130 0.3030 1
S6 S 0.4165 0.0787 0.3639 1
S7 S 0.5015 0.8408 0.0222 1
S8 S 0.5615 0.2225 0.0946 1
S9 S 0.6642 0.9750 0.7359 1
S10 S 0.7130 0.3659 0.8030 1
S11 S 0.7710 0.1319 0.4347 1
S12 S 0.8408 0.5015 0.5222 1
S13 S 0.9588 0.2566 0.1599 1
S14 S 0.9750 0.6642 0.2359 1
# Space-group type: Cc (9)
# E_form (uncorrected), meV/atom: -437
# D(E_F), states/eV per cell: 18.00

---

# CuSi2S PBE-GGA optimized geometry
data_CuSi2S
_cell_length_a 6.5256
_cell_length_b 6.5256
_cell_length_c 6.5256
_cell_angle_alpha 131.09
_cell_angle_beta 131.09
_cell_angle_gamma 71.67
_space_group_name_H-M_alt 'P 1'
_space_group_IT_number 1
_space_group_name_Hall 'P 1'
loop_
_atom_site_label
_atom_site_type_symbol
_atom_site_fract_x
_atom_site_fract_y
_atom_site_fract_z
_atom_site_occupancy
Cu1 Cu 0.0000 0.0000 0.0000 1
Cu2 Cu 0.7500 0.2500 0.5000 1
Si1 Si 0.1070 0.6250 0.9820 1
Si2 Si 0.3750 0.3570 0.4820 1
Si3 Si 0.6430 0.1250 0.0180 1
Si4 Si 0.8750 0.8930 0.5180 1
S1 S 0.2500 0.7500 0.5000 1
S2 S 0.5000 0.5000 0.0000 1
# Space-group type: I-42d (122)
# E_form (uncorrected), meV/atom: 233
# D(E_F), states/eV per cell: 4.26

---

Repeat the first record exactly.
# YCuSeS2 PBE-GGA optimized geometry
data_YCuSeS2
_cell_length_a 4.8438
_cell_length_b 4.8438
_cell_length_c 5.3629
_cell_angle_alpha 90.00
_cell_angle_beta 90.00
_cell_angle_gamma 90.00
_space_group_name_H-M_alt 'P 1'
_space_group_IT_number 1
_space_group_name_Hall 'P 1'
loop_
_atom_site_label
_atom_site_type_symbol
_atom_site_fract_x
_atom_site_fract_y
_atom_site_fract_z
_atom_site_occupancy
Y1 Y 0.0000 0.0000 0.0000 1
Cu1 Cu 0.5000 0.5000 0.0000 1
Se1 Se 0.0000 0.0000 0.5000 1
S1 S 0.0000 0.5000 0.5000 1
S2 S 0.5000 0.0000 0.5000 1
# Space-group type: P4/mmm (123)
# E_form (uncorrected), meV/atom: 326
# D(E_F), states/eV per cell: 2.92